The following is a PBE calculation of AlCd2Ni after structural relaxation, from the Alexandria database.

## Properties
final energy	-10.96	eV for the cell shown
formation enthalpy at 0 K	0.10	eV per atom

Cell lengths 4.5738, 4.5738, 4.5738 Å; angles 60.00, 60.00, 60.00 degrees
Last column: nearest neighbours and their distance in Å.
Atoms (fractional coordinates):
Cd (0.0000, 0.0000, 0.0000)  4 Ni 2.80, 4 Cd 2.80
Cd (0.2500, 0.2500, 0.2500)  4 Cd 2.80, 4 Al 2.80
Al (0.5000, 0.5000, 0.5000)  4 Cd 2.80, 4 Ni 2.80
Ni (0.7500, 0.7500, 0.7500)  4 Cd 2.80, 4 Al 2.80